## LiB4Mo2 (PBE)

Data for a geometry-optimized LiB4Mo2 structure.

The structure belongs to space group P4/mmm (No. 123); the cell edges are 4.896, 4.896 and 2.913 Å and the angles 90.00°, 90.00° and 90.00°. Symmetry generates all atoms from Li at (0.000, 0.000, 0.000), B at (0.320, 0.320, 0.500) and Mo at (0.000, 0.500, 0.000).

Its volume is 70 Å³ per cell. For the raw total energy, the calculation gives -7.09 eV/atom.